Density functional theory data (GGA+U) for crystalline Eu3Fe5O12 at its relaxed geometry.

a = 11.010 Å, b = 11.010 Å, c = 11.010 Å
α = 109.47°, β = 109.47°, γ = 109.47°
Site moments in Bohr magnetons follow the coordinates.
Sites, in units of the cell vectors:
1 Fe 0.000 0.000 0.000  4.37
2 Fe 0.000 0.500 0.500  4.37
3 Fe 0.875 0.125 0.750  4.24
4 Fe 0.125 0.875 0.250  4.24
5 Fe 0.250 0.625 0.375  4.24
6 Fe 0.375 0.625 0.750  4.24
7 Fe 0.500 0.000 0.500  4.37
8 Fe 0.000 0.500 0.000  4.37
9 Fe 0.500 0.500 0.500  4.37
10 Fe 0.250 0.125 0.875  4.24
11 Fe 0.125 0.750 0.875  4.24
12 Fe 0.375 0.250 0.625  4.24
13 Fe 0.500 0.500 0.000  4.37
14 Fe 0.750 0.875 0.125  4.24
15 Fe 0.875 0.250 0.125  4.24
16 Fe 0.625 0.375 0.250  4.24
17 Fe 0.625 0.750 0.375  4.24
18 Fe 0.000 0.000 0.500  4.37
19 Fe 0.500 0.000 0.000  4.37
20 Fe 0.750 0.375 0.625  4.24
21 O 0.322 0.904 0.025  0.14
22 O 0.025 0.322 0.904  0.14
23 O 0.879 0.404 0.082  0.14
24 O 0.797 0.879 0.975  0.14
25 O 0.322 0.918 0.297  0.14
26 O 0.621 0.703 0.525  0.14
27 O 0.297 0.475 0.379  0.14
28 O 0.178 0.475 0.596  0.14
29 O 0.918 0.297 0.322  0.14
30 O 0.678 0.096 0.975  0.14
31 O 0.203 0.582 0.178  0.14
32 O 0.404 0.082 0.879  0.14
33 O 0.096 0.975 0.678  0.14
34 O 0.822 0.797 0.418  0.14
35 O 0.525 0.621 0.703  0.14
36 O 0.797 0.418 0.822  0.14
37 O 0.822 0.525 0.404  0.14
38 O 0.297 0.322 0.918  0.14
39 O 0.582 0.904 0.379  0.14
40 O 0.879 0.975 0.797  0.14
41 O 0.904 0.025 0.322  0.14
42 O 0.904 0.379 0.582  0.14
43 O 0.178 0.203 0.582  0.14
44 O 0.975 0.797 0.879  0.14
45 O 0.596 0.918 0.121  0.14
46 O 0.082 0.879 0.404  0.14
47 O 0.703 0.678 0.082  0.14
48 O 0.525 0.404 0.822  0.14
49 O 0.025 0.203 0.121  0.14
50 O 0.379 0.297 0.475  0.14
51 O 0.678 0.082 0.703  0.14
52 O 0.418 0.822 0.797  0.14
53 O 0.203 0.121 0.025  0.14
54 O 0.096 0.621 0.418  0.14
55 O 0.121 0.596 0.918  0.14
56 O 0.404 0.822 0.525  0.14
57 O 0.379 0.582 0.904  0.14
58 O 0.082 0.703 0.678  0.14
59 O 0.975 0.678 0.096  0.14
60 O 0.475 0.596 0.178  0.14
61 O 0.596 0.178 0.475  0.14
62 O 0.918 0.121 0.596  0.14
63 O 0.121 0.025 0.203  0.14
64 O 0.582 0.178 0.203  0.14
65 O 0.621 0.418 0.096  0.14
66 O 0.475 0.379 0.297  0.14
67 O 0.418 0.096 0.621  0.14
68 O 0.703 0.525 0.621  0.14
69 Eu 0.375 0.125 0.250  6.35
70 Eu 0.250 0.375 0.125  6.35
71 Eu 0.750 0.125 0.375  6.35
72 Eu 0.375 0.750 0.125  6.35
73 Eu 0.125 0.250 0.375  6.35
74 Eu 0.250 0.875 0.625  6.35
75 Eu 0.625 0.250 0.875  6.35
76 Eu 0.625 0.875 0.750  6.35
77 Eu 0.750 0.625 0.875  6.35
78 Eu 0.125 0.375 0.750  6.35
79 Eu 0.875 0.750 0.625  6.35
80 Eu 0.875 0.625 0.250  6.35

Properties
As for the total energy: -630.58 eV per cell. As for the space-group type: Ia-3d, No. 230. The density of states at the Fermi level is 22.66 states/eV/f.u. The calculation puts the total magnetization at 172.000 μB per cell.